1.
Zn9Ag2Au4 | PBE | relaxed

```
data_Zn9Ag2Au4
_chemical_formula_sum 'Zn9 Ag2 Au4'
_symmetry_space_group_name_H-M 'P 1'
_symmetry_Int_Tables_number 1
_cell_length_a 4.456
_cell_length_b 4.456
_cell_length_c 14.086
_cell_angle_alpha 90.00
_cell_angle_beta 90.00
_cell_angle_gamma 120.00
loop_
_symmetry_equiv_pos_as_xyz
'x,y,z'
loop_
_atom_site_label
_atom_site_type_symbol
_atom_site_fract_x
_atom_site_fract_y
_atom_site_fract_z
Zn1 Zn 0.000 0.000 0.000
Zn2 Zn 0.000 0.000 0.194
Zn3 Zn 0.000 0.000 0.390
Zn4 Zn 0.000 0.000 0.610
Zn5 Zn 0.000 0.000 0.806
Zn6 Zn 0.333 0.667 0.061
Zn7 Zn 0.333 0.667 0.453
Zn8 Zn 0.667 0.333 0.547
Zn9 Zn 0.667 0.333 0.939
Ag1 Ag 0.333 0.667 0.257
Ag2 Ag 0.667 0.333 0.743
Au1 Au 0.333 0.667 0.640
Au2 Au 0.333 0.667 0.866
Au3 Au 0.667 0.333 0.134
Au4 Au 0.667 0.333 0.360
```

***

2.
# Zn5Ag2Au4 (PBE, relaxed)
# - Energy above the lowest structure with this stoichiometry: 0.00 kcal/mol of atoms
data_Zn5Ag2Au4
_chemical_formula_sum 'Zn5 Ag2 Au4'
_symmetry_space_group_name_H-M 'P 1'
_symmetry_Int_Tables_number 1
_cell_length_a 7.288
_cell_length_b 2.942
_cell_length_c 9.092
_cell_angle_alpha 90.00
_cell_angle_beta 106.15
_cell_angle_gamma 90.00
loop_
_symmetry_equiv_pos_as_xyz
'x,y,z'
loop_
_atom_site_label
_atom_site_type_symbol
_atom_site_fract_x
_atom_site_fract_y
_atom_site_fract_z
Zn1 Zn 0.000 0.000 0.000
Zn2 Zn 0.007 0.000 0.357
Zn3 Zn 0.430 0.000 0.116
Zn4 Zn 0.570 0.000 0.884
Zn5 Zn 0.993 0.000 0.643
Ag1 Ag 0.342 0.000 0.592
Ag2 Ag 0.658 0.000 0.408
Au1 Au 0.232 0.500 0.867
Au2 Au 0.286 0.500 0.300
Au3 Au 0.714 0.500 0.700
Au4 Au 0.768 0.500 0.133

***

3.
Zn8AgAu4 | PBE | relaxed

```
data_Zn8AgAu4
_chemical_formula_sum 'Zn8 Ag1 Au4'
_symmetry_space_group_name_H-M 'P 1'
_symmetry_Int_Tables_number 1
_cell_length_a 2.922
_cell_length_b 4.358
_cell_length_c 16.825
_cell_angle_alpha 90.00
_cell_angle_beta 90.00
_cell_angle_gamma 90.00
loop_
_symmetry_equiv_pos_as_xyz
'x,y,z'
loop_
_atom_site_label
_atom_site_type_symbol
_atom_site_fract_x
_atom_site_fract_y
_atom_site_fract_z
Zn1 Zn 0.000 0.000 0.000
Zn2 Zn 0.000 0.000 0.277
Zn3 Zn 0.000 0.500 0.173
Zn4 Zn 0.000 0.500 0.465
Zn5 Zn 0.500 0.000 0.426
Zn6 Zn 0.500 0.000 0.708
Zn7 Zn 0.500 0.500 0.617
Zn8 Zn 0.500 0.500 0.965
Ag1 Ag 0.500 0.000 0.863
Au1 Au 0.000 0.000 0.567
Au2 Au 0.000 0.500 0.768
Au3 Au 0.500 0.000 0.134
Au4 Au 0.500 0.500 0.323
```

***

4.
# ZnAg6Au3 (PBE, relaxed)
# - Energy above the lowest structure with this stoichiometry: 0.00 kcal/mol of atoms
data_ZnAg6Au3
_chemical_formula_sum 'Zn2 Ag12 Au6'
_symmetry_space_group_name_H-M 'P 1'
_symmetry_Int_Tables_number 1
_cell_length_a 7.554
_cell_length_b 6.333
_cell_length_c 10.761
_cell_angle_alpha 90.00
_cell_angle_beta 133.30
_cell_angle_gamma 90.00
loop_
_symmetry_equiv_pos_as_xyz
'x,y,z'
loop_
_atom_site_label
_atom_site_type_symbol
_atom_site_fract_x
_atom_site_fract_y
_atom_site_fract_z
Zn1 Zn 0.000 0.000 0.000
Zn2 Zn 0.000 0.500 0.500
Ag1 Ag 0.073 0.183 0.335
Ag2 Ag 0.073 0.317 0.835
Ag3 Ag 0.239 0.150 0.673
Ag4 Ag 0.239 0.350 0.173
Ag5 Ag 0.380 0.605 0.833
Ag6 Ag 0.380 0.895 0.333
Ag7 Ag 0.620 0.105 0.667
Ag8 Ag 0.620 0.395 0.167
Ag9 Ag 0.761 0.650 0.827
Ag10 Ag 0.761 0.850 0.327
Ag11 Ag 0.927 0.683 0.165
Ag12 Ag 0.927 0.817 0.665
Au1 Au 0.268 0.710 0.038
Au2 Au 0.268 0.790 0.538
Au3 Au 0.500 0.000 0.000
Au4 Au 0.500 0.500 0.500
Au5 Au 0.732 0.210 0.462
Au6 Au 0.732 0.290 0.962

***

5.
# Zn7Ag3Au2 (PBE, relaxed)
# - Energy above the lowest structure with this stoichiometry: 0.00 kcal/mol of atoms
data_Zn7Ag3Au2
_chemical_formula_sum 'Zn7 Ag3 Au2'
_symmetry_space_group_name_H-M 'P 1'
_symmetry_Int_Tables_number 1
_cell_length_a 4.508
_cell_length_b 2.876
_cell_length_c 15.381
_cell_angle_alpha 90.00
_cell_angle_beta 92.29
_cell_angle_gamma 90.00
loop_
_symmetry_equiv_pos_as_xyz
'x,y,z'
loop_
_atom_site_label
_atom_site_type_symbol
_atom_site_fract_x
_atom_site_fract_y
_atom_site_fract_z
Zn1 Zn 0.000 0.000 0.000
Zn2 Zn 0.196 0.500 0.187
Zn3 Zn 0.257 0.500 0.542
Zn4 Zn 0.309 0.000 0.857
Zn5 Zn 0.691 0.000 0.143
Zn6 Zn 0.743 0.500 0.458
Zn7 Zn 0.804 0.500 0.813
Ag1 Ag 0.227 0.000 0.383
Ag2 Ag 0.500 0.500 0.000
Ag3 Ag 0.773 0.000 0.617
Au1 Au 0.289 0.500 0.711
Au2 Au 0.711 0.500 0.289

***

6.
# ZnAg5Au (PBE, relaxed)
# - Energy above the lowest structure with this stoichiometry: 0.00 kcal/mol of atoms
data_ZnAg5Au
_chemical_formula_sum 'Zn2 Ag10 Au2'
_symmetry_space_group_name_H-M 'P 1'
_symmetry_Int_Tables_number 1
_cell_length_a 5.027
_cell_length_b 5.170
_cell_length_c 10.152
_cell_angle_alpha 79.67
_cell_angle_beta 78.23
_cell_angle_gamma 83.65
loop_
_symmetry_equiv_pos_as_xyz
'x,y,z'
loop_
_atom_site_label
_atom_site_type_symbol
_atom_site_fract_x
_atom_site_fract_y
_atom_site_fract_z
Zn1 Zn 0.000 0.000 0.000
Zn2 Zn 0.500 0.000 0.500
Ag1 Ag 0.062 0.751 0.477
Ag2 Ag 0.128 0.905 0.735
Ag3 Ag 0.279 0.466 0.933
Ag4 Ag 0.399 0.413 0.646
Ag5 Ag 0.433 0.043 0.142
Ag6 Ag 0.567 0.957 0.858
Ag7 Ag 0.601 0.587 0.354
Ag8 Ag 0.721 0.534 0.067
Ag9 Ag 0.872 0.095 0.265
Ag10 Ag 0.938 0.249 0.523
Au1 Au 0.160 0.563 0.213
Au2 Au 0.840 0.437 0.787

***

7.
# Zn2Ag5Au4 (PBE, relaxed)
# - Energy above the lowest structure with this stoichiometry: 0.00 kcal/mol of atoms
data_Zn2Ag5Au4
_chemical_formula_sum 'Zn2 Ag5 Au4'
_symmetry_space_group_name_H-M 'P 1'
_symmetry_Int_Tables_number 1
_cell_length_a 7.322
_cell_length_b 2.942
_cell_length_c 9.071
_cell_angle_alpha 90.00
_cell_angle_beta 94.63
_cell_angle_gamma 90.00
loop_
_symmetry_equiv_pos_as_xyz
'x,y,z'
loop_
_atom_site_label
_atom_site_type_symbol
_atom_site_fract_x
_atom_site_fract_y
_atom_site_fract_z
Zn1 Zn 0.077 0.000 0.137
Zn2 Zn 0.923 0.000 0.863
Ag1 Ag 0.167 0.000 0.644
Ag2 Ag 0.457 0.000 0.176
Ag3 Ag 0.500 0.000 0.500
Ag4 Ag 0.543 0.000 0.824
Ag5 Ag 0.833 0.000 0.356
Au1 Au 0.195 0.500 0.369
Au2 Au 0.237 0.500 0.928
Au3 Au 0.763 0.500 0.072
Au4 Au 0.805 0.500 0.631

***

8.
# Zn5Ag2Au2 (PBE, relaxed)
# - Energy above the lowest structure with this stoichiometry: 0.05 kcal/mol of atoms
data_Zn5Ag2Au2
_chemical_formula_sum 'Zn5 Ag2 Au2'
_symmetry_space_group_name_H-M 'P 1'
_symmetry_Int_Tables_number 1
_cell_length_a 2.867
_cell_length_b 4.758
_cell_length_c 11.101
_cell_angle_alpha 78.66
_cell_angle_beta 84.21
_cell_angle_gamma 88.74
loop_
_symmetry_equiv_pos_as_xyz
'x,y,z'
loop_
_atom_site_label
_atom_site_type_symbol
_atom_site_fract_x
_atom_site_fract_y
_atom_site_fract_z
Zn1 Zn 0.000 0.000 0.000
Zn2 Zn 0.219 0.222 0.546
Zn3 Zn 0.237 0.443 0.105
Zn4 Zn 0.763 0.557 0.895
Zn5 Zn 0.781 0.778 0.454
Ag1 Ag 0.380 0.886 0.224
Ag2 Ag 0.620 0.114 0.776
Au1 Au 0.205 0.663 0.668
Au2 Au 0.795 0.337 0.332

***

9.
# Zn3AgAu (PBE, relaxed)
# - Energy above the lowest structure with this stoichiometry: 8.73 kcal/mol of atoms
data_Zn3AgAu
_chemical_formula_sum 'Zn3 Ag1 Au1'
_symmetry_space_group_name_H-M 'P 1'
_symmetry_Int_Tables_number 1
_cell_length_a 4.891
_cell_length_b 4.891
_cell_length_c 4.891
_cell_angle_alpha 90.00
_cell_angle_beta 90.00
_cell_angle_gamma 90.00
loop_
_symmetry_equiv_pos_as_xyz
'x,y,z'
loop_
_atom_site_label
_atom_site_type_symbol
_atom_site_fract_x
_atom_site_fract_y
_atom_site_fract_z
Zn1 Zn 0.000 0.000 0.500
Zn2 Zn 0.000 0.500 0.000
Zn3 Zn 0.500 0.000 0.000
Ag1 Ag 0.500 0.500 0.500
Au1 Au 0.000 0.000 0.000

***

10.
# Zn4Ag3Au4 (PBE, relaxed)
# - Energy above the lowest structure with this stoichiometry: 0.96 kcal/mol of atoms
data_Zn4Ag3Au4
_chemical_formula_sum 'Zn4 Ag3 Au4'
_symmetry_space_group_name_H-M 'P 1'
_symmetry_Int_Tables_number 1
_cell_length_a 9.155
_cell_length_b 9.155
_cell_length_c 9.155
_cell_angle_alpha 160.79
_cell_angle_beta 131.16
_cell_angle_gamma 52.95
loop_
_symmetry_equiv_pos_as_xyz
'x,y,z'
loop_
_atom_site_label
_atom_site_type_symbol
_atom_site_fract_x
_atom_site_fract_y
_atom_site_fract_z
Zn1 Zn 0.198 0.000 0.198
Zn2 Zn 0.243 0.243 0.000
Zn3 Zn 0.757 0.757 0.000
Zn4 Zn 0.802 0.000 0.802
Ag1 Ag 0.104 0.604 0.500
Ag2 Ag 0.500 0.500 0.000
Ag3 Ag 0.896 0.396 0.500
Au1 Au 0.160 0.848 0.312
Au2 Au 0.465 0.152 0.312
Au3 Au 0.535 0.848 0.688
Au4 Au 0.840 0.152 0.688

***

no.,DOS(E_F) (states/eV per atom),calculated formation energy (eV/atom)
1,0.1577,-0.1056
2,0.2409,-0.1167
3,0.2279,-0.1150
4,0.2258,0.0346
5,0.1621,-0.0488
6,0.3369,0.0337
7,0.0863,-0.0767
8,0.2547,-0.0798
9,0.3737,0.2920
10,0.2308,-0.0899